Record 1
DFT (GGA-PBE) results for a relaxed Ce2NbP crystal.

DOS at the Fermi energy: 29.9 states/eV per cell
E_tot: -81.98 eV per cell
size of the total moment: 0.00 μB/atom

Cell lengths 3.5165, 3.5165, 27.5430 Å; angles 90.00, 90.00, 120.00 degrees
Space group R-3m (No. 166, hexagonal axes)
Symmetry-distinct sites (fractional):
Ce 0.0000 0.0000 0.0988 [6 per cell]
Nb 0.0000 0.0000 0.0000 [3 per cell]
P 0.0000 0.0000 0.5000 [3 per cell]



Record 2
DFT (GGA-PBE) results for a relaxed CaYH2 crystal.

E above lowest polymorph: 12.0 meV/atom
DOS at the Fermi energy: 2.5 states/eV per cell
E_tot: -49.13 eV per cell
size of the total moment: 0.23 μB/atom

Cell lengths 3.6910, 3.6910, 18.4449 Å; angles 90.00, 90.00, 120.00 degrees
Space group R3m (No. 160, hexagonal axes)
Symmetry-distinct sites (fractional):
Ca 0.0000 0.0000 0.0000 [3 per cell]
Y 0.0000 0.0000 0.1845 [3 per cell]
H 0.0000 0.0000 0.5826 [3 per cell]
H 0.0000 0.0000 0.8664 [3 per cell]



Record 3
DFT (GGA-PBE) results for a relaxed CaGa3CoIr crystal.

DOS at the Fermi energy: 14.4 states/eV per cell
E_tot: -116.12 eV per cell
size of the total moment: 0.00 μB/atom

Cell lengths 7.6771, 10.7267, 5.6467 Å; angles 90.00, 90.00, 90.00 degrees
Space group Cmcm (No. 63)
Symmetry-distinct sites (fractional):
Ca 0.0000 0.2141 0.2500 [4 per cell]
Ga 0.0000 0.3033 0.7500 [4 per cell]
Ga 0.2493 0.0000 0.0000 [8 per cell]
Co 0.0000 0.4888 0.2500 [4 per cell]
Ir 0.0000 0.0812 0.7500 [4 per cell]



Question: Which of these has the lowest E_tot?
Answer: CaGa3CoIr